A plane-wave DFT calculation with PBE was carried out for crystalline SrTi3S at its relaxed geometry.

The structure in POSCAR format:
```
SrTi3S
1.0
4.846 0.000 0.000
0.000 4.846 0.000
0.000 0.000 4.846
Sr Ti S
1 3 1
Cartesian
0.000 0.000 0.000 Sr
0.000 0.000 2.423 Ti
0.000 2.423 0.000 Ti
2.423 0.000 0.000 Ti
2.423 2.423 2.423 S
```

- M_tot: 0.404 μB/atom
- Symmetry: Pm-3m, No. 221
- Polymorph energy (0 for the lowest one): 2144 meV/atom
- Crystal system: cubic


A plane-wave DFT calculation with PBE was carried out for crystalline Sr3TiS at its relaxed geometry.

The structure in POSCAR format:
```
Sr3TiS
1.0
5.787 0.000 0.000
0.000 5.787 0.000
0.000 0.000 5.787
Sr Ti S
3 1 1
Cartesian
0.000 0.000 2.893 Sr
0.000 2.893 0.000 Sr
2.893 0.000 0.000 Sr
2.893 2.893 2.893 Ti
0.000 0.000 0.000 S
```

- M_tot: 0.915 μB/atom
- Symmetry: Pm-3m, No. 221
- Polymorph energy (0 for the lowest one): 0 meV/atom
- Crystal system: cubic


A plane-wave DFT calculation with PBE was carried out for crystalline Sr8Ti7S21 at its relaxed geometry.

The structure in POSCAR format:
```
Sr8Ti7S21
1.0
11.616 0.000 0.000
-5.808 10.059 0.000
0.000 0.000 20.961
Sr Ti S
24 21 63
Cartesian
-3.633 6.351 0.000 Sr
-1.816 3.533 18.245 Sr
-1.598 3.394 12.948 Sr
-3.674 6.982 10.276 Sr
1.599 3.387 10.276 Sr
-2.069 9.746 12.948 Sr
1.915 3.178 5.074 Sr
3.636 0.340 2.338 Sr
-1.841 9.866 18.245 Sr
3.707 0.356 7.903 Sr
2.124 3.738 0.000 Sr
2.173 3.682 15.354 Sr
1.509 10.030 0.000 Sr
7.341 0.041 15.354 Sr
3.657 6.720 18.245 Sr
3.667 6.978 12.948 Sr
2.075 9.750 10.276 Sr
7.906 0.070 5.074 Sr
4.262 6.671 7.903 Sr
4.285 6.741 2.338 Sr
9.454 3.033 7.903 Sr
9.503 2.979 2.338 Sr
7.602 6.812 5.074 Sr
7.910 6.337 15.354 Sr
0.000 0.000 0.251 Ti
0.000 0.000 3.342 Ti
0.000 0.000 6.222 Ti
0.000 0.000 9.112 Ti
0.000 0.000 12.081 Ti
0.000 0.000 15.145 Ti
0.000 0.000 18.153 Ti
0.000 6.706 2.073 Ti
0.000 6.706 5.113 Ti
0.000 6.706 8.129 Ti
0.000 6.706 11.222 Ti
0.000 6.706 14.194 Ti
0.000 6.706 17.074 Ti
0.000 6.706 19.951 Ti
5.808 3.353 1.133 Ti
5.808 3.353 4.046 Ti
5.808 3.353 6.926 Ti
5.808 3.353 10.046 Ti
5.808 3.353 13.148 Ti
5.808 3.353 16.259 Ti
5.808 3.353 19.164 Ti
-0.968 1.700 4.820 S
-4.779 8.436 1.846 S
-4.601 8.452 7.689 S
-4.285 8.959 19.681 S
0.191 1.869 19.681 S
-1.667 5.776 6.667 S
0.789 1.849 7.689 S
-1.961 6.619 12.735 S
0.891 1.703 1.846 S
-1.955 6.720 18.480 S
0.988 1.652 13.508 S
-0.964 5.037 9.775 S
-3.851 10.048 4.820 S
-0.885 4.994 0.486 S
-0.794 4.858 15.608 S
1.972 0.266 10.562 S
1.666 0.945 16.623 S
-0.102 4.821 3.602 S
-1.582 7.737 3.602 S
-1.204 8.319 15.608 S
-1.040 8.329 0.486 S
0.966 5.006 18.480 S
-0.964 8.376 9.775 S
1.056 5.052 12.735 S
1.639 5.728 6.667 S
0.028 8.615 6.667 S
4.555 1.785 20.650 S
4.676 1.763 5.461 S
4.732 1.780 14.736 S
0.904 8.448 12.735 S
1.928 6.706 9.775 S
0.989 8.393 18.480 S
1.925 6.796 0.486 S
3.908 3.459 8.458 S
3.822 3.645 2.584 S
1.998 6.943 15.608 S
3.903 3.712 17.745 S
1.684 7.561 3.602 S
4.187 4.284 11.602 S
5.812 1.484 11.602 S
6.449 1.525 17.745 S
6.548 1.488 2.584 S
6.666 1.655 8.458 S
4.984 5.072 14.736 S
4.997 5.129 5.461 S
5.076 5.222 20.650 S
4.093 9.291 19.681 S
3.812 9.818 7.689 S
7.792 3.052 20.650 S
7.708 3.207 14.736 S
7.751 3.168 5.461 S
4.819 8.371 4.820 S
3.888 9.980 1.846 S
6.849 4.946 8.458 S
9.691 0.030 13.508 S
5.052 8.219 10.562 S
7.071 4.823 17.745 S
7.053 4.927 2.584 S
7.425 4.291 11.602 S
5.793 8.144 16.623 S
9.965 0.970 16.623 S
10.399 1.575 10.562 S
6.745 8.378 13.508 S
```

- M_tot: 0.000 μB/atom
- Symmetry: P3, No. 143
- E: -6.0099 eV/atom
- Crystal system: trigonal


A plane-wave DFT calculation with PBE was carried out for crystalline SrTi6S8 at its relaxed geometry.

The structure in POSCAR format:
```
SrTi6S8
1.0
4.754 2.745 3.844
-4.754 2.745 3.844
0.000 -5.490 3.844
Sr Ti S
1 6 8
Cartesian
0.000 0.000 0.000 Sr
-1.036 -1.449 4.554 Ti
-0.737 1.622 4.554 Ti
-1.773 0.173 6.977 Ti
1.773 -0.173 4.554 Ti
0.737 -1.622 6.977 Ti
1.036 1.449 6.977 Ti
-2.820 0.248 4.764 S
0.000 0.000 2.934 S
-1.625 -2.318 6.767 S
1.195 -2.567 4.764 S
-1.195 2.567 6.767 S
1.625 2.318 4.764 S
0.000 0.000 8.598 S
2.820 -0.248 6.767 S
```

- M_tot: 0.213 μB/atom
- Symmetry: R-3, No. 148
- E: -6.8836 eV/atom
- Crystal system: trigonal


A plane-wave DFT calculation with PBE was carried out for crystalline SrTiS4 at its relaxed geometry.

The structure in POSCAR format:
```
SrTiS4
1.0
6.685 -3.575 0.000
6.685 3.575 0.000
-0.383 0.000 6.741
Sr Ti S
2 2 8
Cartesian
1.955 0.000 1.178 Sr
11.032 0.000 5.563 Sr
5.425 0.000 5.228 Ti
7.562 0.000 1.512 Ti
5.457 1.691 3.455 S
3.252 0.000 5.461 S
6.685 1.661 0.000 S
7.530 1.691 3.286 S
5.457 -1.691 3.455 S
6.685 -1.661 0.000 S
9.735 0.000 1.280 S
7.530 -1.691 3.286 S
```

- M_tot: 0.000 μB/atom
- Symmetry: C2/m, No. 12
- E: -5.5614 eV/atom
- Crystal system: monoclinic


A plane-wave DFT calculation with PBE was carried out for crystalline SrTi3S at its relaxed geometry.

The structure in POSCAR format:
```
SrTi3S
1.0
4.732 0.000 0.000
0.000 4.732 0.000
0.000 0.000 4.732
Sr Ti S
1 3 1
Cartesian
0.000 0.000 0.000 Sr
0.000 2.366 2.366 Ti
2.366 0.000 2.366 Ti
2.366 2.366 0.000 Ti
2.366 2.366 2.366 S
```

- M_tot: 0.000 μB/atom
- Symmetry: Pm-3m, No. 221
- Polymorph energy (0 for the lowest one): 0 meV/atom
- Crystal system: cubic


A plane-wave DFT calculation with PBE was carried out for crystalline Sr2TiZnS5 at its relaxed geometry.

The structure in POSCAR format:
```
Sr2TiZnS5
1.0
1.917 -8.626 0.000
1.917 8.626 0.000
0.000 0.000 12.152
Sr Ti Zn S
4 2 2 10
Cartesian
1.917 6.719 6.076 Sr
1.917 6.429 1.460 Sr
1.917 -6.429 7.536 Sr
1.917 -6.719 0.000 Sr
1.917 4.929 10.103 Ti
1.917 -4.929 4.027 Ti
1.917 1.047 3.178 Zn
1.917 -1.047 9.254 Zn
1.917 7.436 10.544 S
1.917 3.749 5.646 S
1.917 3.440 2.352 S
1.917 2.586 9.925 S
1.917 0.012 1.164 S
1.917 -0.012 7.239 S
1.917 -2.586 3.849 S
1.917 -3.440 8.428 S
1.917 -3.749 11.722 S
1.917 -7.436 4.468 S
```

- M_tot: 0.000 μB/atom
- Symmetry: Cmc2_1, No. 36
- E: -5.1887 eV/atom
- Crystal system: orthorhombic


A plane-wave DFT calculation with PBE was carried out for crystalline SrZr2TiS at its relaxed geometry.

The structure in POSCAR format:
```
SrZr2TiS
1.0
5.271 0.000 0.000
0.000 5.271 0.000
0.000 0.000 5.100
Sr Zr Ti S
1 2 1 1
Cartesian
0.000 0.000 0.000 Sr
0.000 2.636 0.000 Zr
2.636 0.000 0.000 Zr
2.636 2.636 2.550 Ti
0.000 0.000 2.550 S
```

- M_tot: 0.087 μB/atom
- Symmetry: P4/mmm, No. 123
- E: -4.4743 eV/atom
- Crystal system: tetragonal


A plane-wave DFT calculation with PBE was carried out for crystalline Sr4TlS5 at its relaxed geometry.

The structure in POSCAR format:
```
Sr4TlS5
1.0
-4.806 4.806 2.986
4.806 -4.806 2.986
4.806 4.806 -2.986
Sr Tl S
4 1 5
Cartesian
2.890 0.993 0.000 Sr
3.813 -1.916 2.986 Sr
0.993 6.722 0.000 Sr
1.916 3.813 2.986 Sr
0.000 0.000 2.986 Tl
0.000 0.000 0.000 S
5.783 1.884 0.000 S
1.884 3.829 0.000 S
2.922 0.977 2.986 S
-0.977 2.922 2.986 S
```

- M_tot: 0.000 μB/atom
- Symmetry: I4/m, No. 87
- E: -4.7029 eV/atom
- Crystal system: tetragonal


A plane-wave DFT calculation with PBE was carried out for crystalline Sr5TlS6 at its relaxed geometry.

The structure in POSCAR format:
```
Sr5TlS6
1.0
3.709 -6.424 0.000
3.709 6.424 0.000
-2.469 0.000 6.987
Sr Tl S
5 1 6
Cartesian
0.000 0.000 0.000 Sr
2.475 4.274 3.494 Sr
3.709 2.108 0.000 Sr
3.709 -2.108 0.000 Sr
2.475 -4.274 3.494 Sr
2.475 0.000 3.494 Tl
1.226 2.156 1.730 S
-0.022 0.000 5.249 S
1.226 -2.156 1.730 S
3.724 2.156 5.257 S
4.971 0.000 1.738 S
3.724 -2.156 5.257 S
```

- M_tot: 0.000 μB/atom
- Symmetry: C2/m, No. 12
- E: -4.7429 eV/atom
- Crystal system: monoclinic


A plane-wave DFT calculation with PBE was carried out for crystalline Sr3TlS4 at its relaxed geometry.

The structure in POSCAR format:
```
Sr3TlS4
1.0
5.996 0.000 0.000
0.000 5.996 0.000
0.000 0.000 12.223
Sr Tl S
6 2 8
Cartesian
0.000 0.000 0.000 Sr
0.000 2.998 3.056 Sr
0.000 2.998 9.167 Sr
2.998 0.000 3.056 Sr
2.998 0.000 9.167 Sr
2.998 2.998 6.111 Sr
0.000 0.000 6.111 Tl
2.998 2.998 0.000 Tl
0.000 0.000 2.997 S
0.000 0.000 9.226 S
0.000 2.998 0.000 S
0.000 2.998 6.111 S
2.998 0.000 0.000 S
2.998 0.000 6.111 S
2.998 2.998 3.114 S
2.998 2.998 9.108 S
```

- M_tot: 0.000 μB/atom
- Symmetry: I4/mmm, No. 139
- E: -4.6283 eV/atom
- Crystal system: tetragonal


A plane-wave DFT calculation with PBE was carried out for crystalline SrTlS14 at its relaxed geometry.

The structure in POSCAR format:
```
SrTlS14
1.0
8.514 -4.511 0.000
8.514 4.511 0.000
-8.387 0.000 13.852
Sr Tl S
2 2 28
Cartesian
4.257 2.255 0.000 Sr
0.063 -2.255 6.926 Sr
6.417 4.360 3.463 Tl
2.224 -4.360 10.389 Tl
-0.980 1.654 9.019 S
-1.470 0.349 7.623 S
0.966 1.057 5.927 S
-3.358 0.403 11.494 S
7.031 2.608 1.245 S
2.723 -0.349 0.697 S
5.803 2.608 5.681 S
0.835 -0.403 4.568 S
4.918 0.862 5.114 S
-3.228 -1.057 12.853 S
2.291 0.483 9.339 S
7.916 0.862 1.812 S
3.213 -1.654 2.093 S
2.156 0.483 11.439 S
6.484 -0.483 2.413 S
5.428 1.654 11.759 S
0.725 -0.862 12.040 S
6.350 -0.483 4.513 S
11.868 1.057 0.999 S
3.722 -0.862 8.737 S
7.805 0.403 9.284 S
2.837 -2.608 8.171 S
5.917 0.349 13.154 S
1.610 -2.608 12.607 S
11.999 -0.403 2.358 S
7.675 -1.057 7.925 S
10.111 -0.349 6.229 S
9.621 -1.654 4.833 S
```

- M_tot: 0.000 μB/atom
- Symmetry: C2/c, No. 15
- E: -4.0155 eV/atom
- Crystal system: monoclinic


| no. | V (A^3/atom) |
| --- | --- |
| 1 | 22.76 |
| 2 | 38.75 |
| 3 | 22.68 |
| 4 | 20.06 |
| 5 | 26.85 |
| 6 | 21.19 |
| 7 | 22.33 |
| 8 | 28.34 |
| 9 | 27.59 |
| 10 | 27.75 |
| 11 | 27.46 |
| 12 | 33.25 |